# Tl3CdNi2F9 | Alexandria via LeMat-Bulk | PBE with a Hubbard U | optimized geometry
data_Tl3CdNi2F9
_chemical_formula_sum 'Tl3 Cd1 Ni2 F9'
_cell_length_a 5.9982
_cell_length_b 5.9982
_cell_length_c 7.4032
_cell_angle_alpha 90.00
_cell_angle_beta 90.00
_cell_angle_gamma 120.00
_space_group_name_H-M_alt 'P -3 m 1'
_space_group_IT_number 164
_space_group_name_Hall '-P 3 2"'
loop_
_atom_site_label
_atom_site_type_symbol
_atom_site_fract_x
_atom_site_fract_y
_atom_site_fract_z
Tl1 Tl 0.0000 0.0000 0.0000
Tl2 Tl 0.3333 0.6667 0.6730
Cd1 Cd 0.0000 0.0000 0.5000
Ni1 Ni 0.3333 0.6667 0.1568
F1 F 0.0000 0.5000 0.0000
F2 F 0.1746 0.3491 0.3175
# - DFT total energy: -60.44 eV for the cell shown
# - ρ: 7.30 g/cm3